(1)
Computed, not measured: a relaxed LaAl6Cu3 crystal at the GGA-PBE level of DFT.

The structure in extended XYZ format:
```
20
Lattice="9.184 0.000 0.000 0.000 4.064 0.000 -1.378 0.000 9.723" Properties=species:S:1:pos:R:3 pbc="T T T"
La -0.042 1.016 1.961
La 7.847 3.048 7.762
Al 0.305 3.048 4.627
Al 0.960 1.016 6.493
Al 0.604 1.016 9.129
Al 3.119 1.016 2.025
Al 3.044 3.048 5.552
Al 3.263 1.016 8.764
Al 4.543 3.048 0.960
Al 4.761 1.016 4.172
Al 4.686 3.048 7.698
Al 7.201 3.048 0.595
Al 6.845 3.048 3.230
Al 7.500 1.016 5.096
Cu 2.116 3.048 0.760
Cu 2.160 1.016 4.331
Cu 2.025 3.048 8.010
Cu 5.780 1.016 1.713
Cu 5.646 3.048 5.393
Cu 5.689 1.016 8.963
```

The calculation puts the magnetization at 0.000 μB per formula unit. The value obtained for the formation enthalpy at 0 K is -0.16 eV/atom. As for the space group: P2_1/m, No. 11. The total energy comes out at -82.61 eV/cell.


(2)
Computed, not measured: a relaxed Ca2ZnHgRh crystal at the GGA-PBE level of DFT.

The structure in extended XYZ format:
```
5
Lattice="5.401 0.000 0.000 0.000 5.401 0.000 0.000 0.000 4.839" Properties=species:S:1:pos:R:3 pbc="T T T"
Ca 0.000 2.700 0.000
Ca 2.700 0.000 0.000
Zn 0.000 0.000 2.420
Hg 2.700 2.700 2.420
Rh 0.000 0.000 0.000
```

The calculation puts the magnetization at 0.000 μB per formula unit. The value obtained for the formation enthalpy at 0 K is -0.26 eV/atom. As for the space group: P4/mmm, No. 123. The total energy comes out at -14.23 eV/cell.


(3)
Computed, not measured: a relaxed Mg4Si7 crystal at the GGA-PBE level of DFT.

The structure in extended XYZ format:
```
22
Lattice="4.293 0.000 0.000 0.053 6.319 0.000 0.003 0.919 15.327" Properties=species:S:1:pos:R:3 pbc="T T T"
Mg 0.000 0.000 0.000
Mg 0.010 0.783 3.478
Mg 0.050 3.312 0.867
Mg 2.034 6.652 12.472
Mg 2.123 3.286 11.366
Mg 2.202 5.248 2.113
Mg 4.302 6.426 6.812
Mg 4.281 3.274 5.887
Si 0.045 4.313 3.494
Si 0.050 2.625 13.217
Si 2.146 4.810 6.588
Si 2.133 2.463 7.381
Si 2.132 1.236 9.568
Si 2.134 1.161 5.296
Si 2.166 5.269 8.912
Si 2.171 1.458 1.587
Si 2.181 2.936 3.537
Si 2.206 5.546 14.901
Si 2.191 3.188 14.582
Si 4.234 4.796 12.142
Si 4.282 2.209 8.785
Si 4.305 4.409 9.733
```

The calculation puts the magnetization at 0.000 μB per formula unit. Its uncorrected formation energy is 0.129 eV/atom. As for the space group: P1, No. 1. The total energy comes out at -85.84 eV/cell.


(4)
Computed, not measured: a relaxed BPtO3 crystal at the GGA-PBE level of DFT.

The structure in extended XYZ format:
```
5
Lattice="3.887 0.000 0.000 0.000 3.887 0.000 0.000 0.000 3.887" Properties=species:S:1:pos:R:3 pbc="T T T"
B 0.000 0.000 0.000
Pt 1.944 1.944 1.944
O 0.000 1.944 1.944
O 1.944 0.000 1.944
O 1.944 1.944 0.000
```

The calculation puts the magnetization at 0.000 μB per formula unit. Its uncorrected formation energy is 0.915 eV/atom. As for the space group: Pm-3m, No. 221. The total energy comes out at -23.02 eV/cell.


What did the first record say?
Computed, not measured: a relaxed LaAl6Cu3 crystal at the GGA-PBE level of DFT.

The structure in extended XYZ format:
```
20
Lattice="9.184 0.000 0.000 0.000 4.064 0.000 -1.378 0.000 9.723" Properties=species:S:1:pos:R:3 pbc="T T T"
La -0.042 1.016 1.961
La 7.847 3.048 7.762
Al 0.305 3.048 4.627
Al 0.960 1.016 6.493
Al 0.604 1.016 9.129
Al 3.119 1.016 2.025
Al 3.044 3.048 5.552
Al 3.263 1.016 8.764
Al 4.543 3.048 0.960
Al 4.761 1.016 4.172
Al 4.686 3.048 7.698
Al 7.201 3.048 0.595
Al 6.845 3.048 3.230
Al 7.500 1.016 5.096
Cu 2.116 3.048 0.760
Cu 2.160 1.016 4.331
Cu 2.025 3.048 8.010
Cu 5.780 1.016 1.713
Cu 5.646 3.048 5.393
Cu 5.689 1.016 8.963
```

The calculation puts the magnetization at 0.000 μB per formula unit. The value obtained for the formation enthalpy at 0 K is -0.16 eV/atom. As for the space group: P2_1/m, No. 11. The total energy comes out at -82.61 eV/cell.


> magnetization of number 3 (Mg4Si7)?

0.000 μB per formula unit